Record 1
First-principles (PBE) data for a relaxed Er6Ge3P2Se crystal, as listed in Alexandria via LeMat-Bulk.

abc: 3.9434 8.3221 9.1852
angles: 106.39 102.40 90.00
Element x y z (fractional)
Er1 0.3322 0.9053 0.6643
Er2 0.6703 0.5731 0.3406
Er3 0.6678 0.0947 0.3357
Er4 0.0042 0.2546 0.0084
Er5 0.9958 0.7454 0.9916
Er6 0.3297 0.4269 0.6594
Ge1 0.5000 0.5000 0.0000
Ge2 0.8356 0.1685 0.6711
Ge3 0.1644 0.8315 0.3289
P1 0.8336 0.6682 0.6671
P2 0.1664 0.3318 0.3329
Se1 0.5000 0.0000 0.0000

Values from the calculation:
volume	281.9	Å³/f.u.
E_form (uncorrected)	-116.9	kJ per mole of atoms
space group	No. 12

***

Record 2
First-principles (PBE) data for a relaxed Er6GeP2Se3 crystal, as listed in Alexandria via LeMat-Bulk.

abc: 4.0254 8.1077 9.0537
angles: 103.58 102.84 90.00
Element x y z (fractional)
Er1 0.3365 0.9038 0.6731
Er2 0.6718 0.5715 0.3437
Er3 0.6635 0.0962 0.3269
Er4 0.0044 0.2428 0.0088
Er5 0.9956 0.7572 0.9912
Er6 0.3282 0.4285 0.6563
Ge1 0.5000 0.0000 0.0000
P1 0.8326 0.6650 0.6651
P2 0.1674 0.3350 0.3349
Se1 0.5000 0.5000 0.0000
Se2 0.8328 0.1678 0.6656
Se3 0.1672 0.8322 0.3344

Values from the calculation:
volume	279.6	Å³/f.u.
E_form (uncorrected)	-157.5	kJ per mole of atoms
space group	No. 12

***

Record 3
First-principles (PBE) data for a relaxed Er6GeTe3P2 crystal, as listed in Alexandria via LeMat-Bulk.

abc: 7.1457 7.1457 7.3789
angles: 99.26 99.26 120.03
Element x y z (fractional)
Er1 0.9289 0.5922 0.7864
Er2 0.7338 0.7338 0.2126
Er3 0.0711 0.4078 0.2136
Er4 0.5922 0.9289 0.7864
Er5 0.2662 0.2662 0.7874
Er6 0.4078 0.0711 0.2136
Ge1 0.0000 0.0000 0.0000
Te1 0.1657 0.8343 0.5000
Te2 0.8343 0.1657 0.5000
Te3 0.5000 0.5000 0.5000
P1 0.3333 0.6667 0.0000
P2 0.6667 0.3333 0.0000

Values from the calculation:
volume	308.8	Å³/f.u.
E_form (uncorrected)	-136.0	kJ per mole of atoms
space group	No. 12

***

Record 4
First-principles (PBE) data for a relaxed Er6Ge2TeP3 crystal, as listed in Alexandria via LeMat-Bulk.

abc: 3.9834 8.3288 9.1693
angles: 104.54 102.55 90.00
Element x y z (fractional)
Er1 0.3251 0.9197 0.6502
Er2 0.6648 0.5935 0.3295
Er3 0.6749 0.0803 0.3498
Er4 0.9991 0.2728 0.9983
Er5 0.0009 0.7272 0.0017
Er6 0.3352 0.4065 0.6705
Ge1 0.8328 0.6651 0.6657
Ge2 0.1672 0.3349 0.3343
Te1 0.5000 0.0000 0.0000
P1 0.5000 0.5000 0.0000
P2 0.8365 0.1654 0.6730
P3 0.1635 0.8346 0.3270

Values from the calculation:
volume	287.0	Å³/f.u.
E_form (uncorrected)	-123.1	kJ per mole of atoms
space group	No. 12

***

Record 5
First-principles (PBE) data for a relaxed Er8Ge3Te3P crystal, as listed in Alexandria via LeMat-Bulk.

abc: 8.3082 8.3083 8.4401
angles: 119.49 90.00 120.00
Element x y z (fractional)
Er1 0.2602 0.5205 0.2807
Er2 0.7398 0.4795 0.7193
Er3 0.7611 0.5222 0.2826
Er4 0.2389 0.4778 0.7174
Er5 0.7611 0.0215 0.2826
Er6 0.2389 0.9785 0.7174
Er7 0.2604 0.0215 0.2826
Er8 0.7396 0.9785 0.7174
Ge1 0.5000 0.0000 0.5000
Ge2 0.5000 0.5000 0.5000
Ge3 0.0000 0.5000 0.5000
Te1 0.0000 0.0000 0.0000
Te2 0.0000 0.5000 0.0000
Te3 0.5000 0.5000 0.0000
P1 0.0000 0.0000 0.5000

Values from the calculation:
volume	415.1	Å³/f.u.
E_form (uncorrected)	-104.8	kJ per mole of atoms
space group	No. 166

***

Record 6
First-principles (PBE) data for a relaxed Er8GeTe3P3 crystal, as listed in Alexandria via LeMat-Bulk.

abc: 8.1449 8.1457 8.3626
angles: 119.15 89.99 120.00
Element x y z (fractional)
Er1 0.2638 0.5276 0.2915
Er2 0.7362 0.4724 0.7085
Er3 0.7567 0.5134 0.2819
Er4 0.2433 0.4866 0.7181
Er5 0.7567 0.0252 0.2819
Er6 0.2433 0.9748 0.7181
Er7 0.2684 0.0251 0.2819
Er8 0.7316 0.9749 0.7181
Ge1 0.0000 0.0000 0.5000
Te1 0.0000 0.0000 0.0000
Te2 0.0000 0.5000 0.0000
Te3 0.5000 0.5000 0.0000
P1 0.5000 0.0000 0.5000
P2 0.5000 0.5000 0.5000
P3 0.0000 0.5000 0.5000

Values from the calculation:
volume	397.3	Å³/f.u.
E_form (uncorrected)	-125.0	kJ per mole of atoms
space group	No. 166

***

Record 7
First-principles (PBE) data for a relaxed Er6Ge2Te3P crystal, as listed in Alexandria via LeMat-Bulk.

abc: 4.1711 8.5001 9.4590
angles: 104.39 102.74 90.00
Element x y z (fractional)
Er1 0.3420 0.9006 0.6839
Er2 0.6732 0.5648 0.3463
Er3 0.6580 0.0994 0.3161
Er4 0.0074 0.2284 0.0148
Er5 0.9926 0.7716 0.9852
Er6 0.3268 0.4352 0.6537
Ge1 0.8340 0.6691 0.6681
Ge2 0.1660 0.3309 0.3319
Te1 0.5000 0.5000 0.0000
Te2 0.8339 0.1664 0.6677
Te3 0.1661 0.8336 0.3323
P1 0.5000 0.0000 0.0000

Values from the calculation:
volume	316.3	Å³/f.u.
E_form (uncorrected)	-124.2	kJ per mole of atoms
space group	No. 12

***

Record 8
First-principles (PBE) data for a relaxed ErPa3Ge5 crystal, as listed in Alexandria via LeMat-Bulk.

abc: 5.9495 8.7284 8.7284
angles: 120.00 90.00 90.00
Element x y z (fractional)
Er1 0.0000 0.0000 0.0000
Er2 0.5000 0.0000 0.0000
Pa1 0.7500 0.3838 0.0000
Pa2 0.7500 0.6162 0.6162
Pa3 0.7500 0.0000 0.3838
Pa4 0.2500 0.6162 0.0000
Pa5 0.2500 0.3838 0.3838
Pa6 0.2500 0.0000 0.6162
Ge1 0.0000 0.3333 0.6667
Ge2 0.5000 0.6667 0.3333
Ge3 0.0000 0.6667 0.3333
Ge4 0.5000 0.3333 0.6667
Ge5 0.7500 0.7207 0.0000
Ge6 0.7500 0.2793 0.2793
Ge7 0.7500 0.0000 0.7207
Ge8 0.2500 0.2793 0.0000
Ge9 0.2500 0.7207 0.7207
Ge10 0.2500 0.0000 0.2793

Values from the calculation:
volume	196.3	Å³/f.u.
DFT formation energy	-481	kJ/mol of formula units
space group	No. 193

***

Record 9
First-principles (PBE) data for a relaxed ErPaGe2 crystal, as listed in Alexandria via LeMat-Bulk.

abc: 3.3289 3.3289 7.8824
angles: 90.00 90.00 90.00
Element x y z (fractional)
Ge1 0.0000 0.0000 0.7478
Ge2 0.0000 0.0000 0.2522
Pa1 0.5000 0.5000 0.0000
Er1 0.5000 0.5000 0.5000

Values from the calculation:
volume	87.3	Å³/f.u.
DFT formation energy	-185	kJ/mol of formula units
relative energy among the computed polymorphs	0.139	eV per atom
space group	No. 123

***

Record 10
First-principles (PBE) data for a relaxed ErPa5Ge6 crystal, as listed in Alexandria via LeMat-Bulk.

abc: 7.1597 7.1563 7.1578
angles: 60.01 80.41 70.52
Element x y z (fractional)
Ge1 0.7496 0.0834 0.3352
Ge2 0.2504 0.5814 0.3352
Ge3 0.2516 0.2510 0.0000
Ge4 0.7484 0.7490 0.0000
Ge5 0.7496 0.4186 0.6648
Ge6 0.2504 0.9166 0.6648
Pa1 0.5000 0.1669 0.6663
Pa2 0.0000 0.3335 0.3330
Pa3 0.5000 0.5000 0.0000
Pa4 0.0000 0.6665 0.6670
Pa5 0.5000 0.8331 0.3337
Er1 0.0000 0.0000 0.0000

Values from the calculation:
volume	299.5	Å³/f.u.
DFT formation energy	-576	kJ/mol of formula units
space group	No. 12

***

Record 11
First-principles (PBE) data for a relaxed ErPaGe4 crystal, as listed in Alexandria via LeMat-Bulk.

abc: 5.5580 5.5580 5.5580
angles: 60.00 60.00 60.00
Last column: magnetic moment on the atom in μB.
Element x y z (fractional)
Ge1 0.6260 0.6260 0.1219  -0.01
Ge2 0.6260 0.1219 0.6260  -0.01
Ge3 0.6260 0.6260 0.6260  -0.01
Ge4 0.1219 0.6260 0.6260  -0.01
Pa1 0.2500 0.2500 0.2500  0.36
Er1 0.0000 0.0000 0.0000  0.13

Values from the calculation:
volume	121.4	Å³/f.u.
DFT formation energy	-95	kJ/mol of formula units
space group	No. 216

***

Record 12
First-principles (PBE) data for a relaxed ErPaGe2 crystal, as listed in Alexandria via LeMat-Bulk.

abc: 5.8351 5.8351 7.1575
angles: 114.06 114.06 90.00
Element x y z (fractional)
Er1 0.5000 0.5000 0.0000
Er2 0.2500 0.7500 0.5000
Pa1 0.7500 0.2500 0.5000
Pa2 0.0000 0.0000 0.0000
Ge1 0.7536 0.7536 0.5072
Ge2 0.5036 0.0036 0.0072
Ge3 0.2464 0.2464 0.4928
Ge4 0.9964 0.4964 0.9928

Values from the calculation:
volume	99.6	Å³/f.u.
DFT formation energy	-238	kJ/mol of formula units
relative energy among the computed polymorphs	0.001	eV per atom
space group	No. 141

***

Record 13
First-principles (PBE) data for a relaxed Er2PaGe crystal, as listed in Alexandria via LeMat-Bulk.

abc: 3.3532 3.3532 11.4052
angles: 81.55 81.55 60.00
Element x y z (fractional)
Ge1 0.0000 0.0000 0.0000
Pa1 0.5000 0.5000 0.5000
Er1 0.0854 0.0854 0.7437
Er2 0.9146 0.9146 0.2563

Values from the calculation:
volume	109.4	Å³/f.u.
DFT formation energy	69	kJ/mol of formula units
relative energy among the computed polymorphs	0.341	eV per atom
space group	No. 166

***

Record 14
First-principles (PBE) data for a relaxed ErPaGe2 crystal, as listed in Alexandria via LeMat-Bulk.

abc: 4.1696 4.1696 7.0401
angles: 72.77 72.77 60.00
Element x y z (fractional)
Ge1 0.7521 0.7521 0.7438
Ge2 0.2479 0.2479 0.2562
Pa1 0.5000 0.5000 0.5000
Er1 0.0000 0.0000 0.0000

Values from the calculation:
volume	99.6	Å³/f.u.
DFT formation energy	-239	kJ/mol of formula units
relative energy among the computed polymorphs	0.000	eV per atom
space group	No. 166

***

Record 15
First-principles (PBE) data for a relaxed Er2PaGe crystal, as listed in Alexandria via LeMat-Bulk.

abc: 4.4610 4.6395 4.6395
angles: 90.00 90.00 90.00
Element x y z (fractional)
Ge1 0.5000 0.0000 0.0000
Pa1 0.5000 0.5000 0.5000
Er1 0.0000 0.0000 0.5000
Er2 0.0000 0.5000 0.0000

Values from the calculation:
volume	96.0	Å³/f.u.
DFT formation energy	-62	kJ/mol of formula units
relative energy among the computed polymorphs	0.000	eV per atom
space group	No. 123

***

Record 16
First-principles (PBE) data for a relaxed ErPaGe crystal, as listed in Alexandria via LeMat-Bulk.

abc: 5.5532 3.1800 8.5973
angles: 79.34 90.00 90.00
Element x y z (fractional)
Er1 0.7500 0.6719 0.6562
Er2 0.2500 0.3281 0.3438
Pa1 0.5000 0.0000 0.0000
Pa2 0.0000 0.0000 0.0000
Ge1 0.7500 0.8432 0.3137
Ge2 0.2500 0.1568 0.6863

Values from the calculation:
volume	74.6	Å³/f.u.
DFT formation energy	-37	kJ/mol of formula units
relative energy among the computed polymorphs	0.000	eV per atom
space group	No. 63

***

Record 17
First-principles (PBE) data for a relaxed ErPa4Ge5 crystal, as listed in Alexandria via LeMat-Bulk.

abc: 4.1439 5.8424 10.9096
angles: 105.53 100.95 90.00
Element x y z (fractional)
Er1 0.0000 0.0000 0.0000
Pa1 0.4007 0.4007 0.8014
Pa2 0.8009 0.8009 0.6018
Pa3 0.1991 0.1991 0.3982
Pa4 0.5993 0.5993 0.1986
Ge1 0.6009 0.1009 0.2018
Ge2 0.8002 0.3002 0.6005
Ge3 0.1998 0.6998 0.3995
Ge4 0.0000 0.5000 0.0000
Ge5 0.3991 0.8991 0.7982

Values from the calculation:
volume	249.5	Å³/f.u.
DFT formation energy	-491	kJ/mol of formula units
space group	No. 71

***

Record 18
First-principles (PBE) data for a relaxed ErPaGe crystal, as listed in Alexandria via LeMat-Bulk.

abc: 3.4664 4.9447 4.9447
angles: 120.00 90.00 90.00
Last column: magnetic moment on the atom in μB.
Element x y z (fractional)
Ge1 0.9675 0.0000 0.0000  0.00
Pa1 0.2768 0.6667 0.3333  0.39
Er1 0.7557 0.3333 0.6667  0.07

Values from the calculation:
volume	73.4	Å³/f.u.
DFT formation energy	-5	kJ/mol of formula units
relative energy among the computed polymorphs	0.111	eV per atom
space group	No. 156

***

Record 19
First-principles (PBE) data for a relaxed ErPaGe2 crystal, as listed in Alexandria via LeMat-Bulk.

abc: 5.0037 5.0037 5.0037
angles: 60.00 60.00 60.00
Element x y z (fractional)
Ge1 0.2500 0.2500 0.2500
Ge2 0.7500 0.7500 0.7500
Pa1 0.0000 0.0000 0.0000
Er1 0.5000 0.5000 0.5000

Values from the calculation:
volume	88.6	Å³/f.u.
DFT formation energy	-168	kJ/mol of formula units
relative energy among the computed polymorphs	0.182	eV per atom
space group	No. 225

***

Record 20
First-principles (PBE) data for a relaxed ErPaGePd crystal, as listed in Alexandria via LeMat-Bulk.

abc: 5.0032 5.0032 5.0032
angles: 60.00 60.00 60.00
Last column: magnetic moment on the atom in μB.
Element x y z (fractional)
Ge1 0.2500 0.2500 0.2500  0.00
Pa1 0.5000 0.5000 0.5000  1.06
Pd1 0.7500 0.7500 0.7500  0.05
Er1 0.0000 0.0000 0.0000  0.33

Values from the calculation:
volume	88.6	Å³/f.u.
DFT formation energy	-175	kJ/mol of formula units
space group	No. 216